[1]
# La2Co2Ag GGA-PBEsol optimized geometry
data_La2Co2Ag
_space_group_name_H-M_alt 'P 4/m b m'
_space_group_IT_number 127
_space_group_name_Hall '-P 4 2ab'
_cell_length_a 7.1616
_cell_length_b 7.1616
_cell_length_c 3.8946
_cell_angle_alpha 90.00
_cell_angle_beta 90.00
_cell_angle_gamma 90.00
loop_
_atom_site_label
_atom_site_fract_x
_atom_site_fract_y
_atom_site_fract_z
_atom_site_occupancy
La1 0.1829 0.3171 0.0000 1
Co1 0.1117 0.6117 0.5000 1
Ag1 0.0000 0.0000 0.5000 1
# Total moment = 0.0019 μB per atom
# DFT formation energy = -50 meV/atom

---

[2]
# ZrCuGe2 GGA-PBEsol optimized geometry
data_ZrCuGe2
_space_group_name_H-M_alt 'F m -3 m'
_space_group_IT_number 225
_space_group_name_Hall '-F 4 2 3'
_cell_length_a 6.4236
_cell_length_b 6.4236
_cell_length_c 6.4236
_cell_angle_alpha 90.00
_cell_angle_beta 90.00
_cell_angle_gamma 90.00
loop_
_atom_site_label
_atom_site_fract_x
_atom_site_fract_y
_atom_site_fract_z
_atom_site_occupancy
Zr1 0.0000 0.0000 0.0000 1
Cu1 0.0000 0.0000 0.5000 1
Ge1 0.2500 0.2500 0.2500 1
# Total moment = 0.0010 μB per atom
# DFT formation energy = -38 meV/atom

---

[3]
# TlCoCl3 GGA-PBEsol optimized geometry
data_TlCoCl3
_space_group_name_H-M_alt 'P 63/m m c'
_space_group_IT_number 194
_space_group_name_Hall '-P 6c 2c'
_cell_length_a 6.7520
_cell_length_b 6.7520
_cell_length_c 5.6783
_cell_angle_alpha 90.00
_cell_angle_beta 90.00
_cell_angle_gamma 120.00
loop_
_atom_site_label
_atom_site_fract_x
_atom_site_fract_y
_atom_site_fract_z
_atom_site_occupancy
Tl1 0.3333 0.6667 0.2500 1
Co1 0.0000 0.0000 0.0000 1
Cl1 0.1625 0.3250 0.7500 1
# Total moment = 0.6023 μB per atom
# Energy relative to the elements, uncorrected = -698 meV per atom

---

[4]
# Na2FeNiHg GGA-PBEsol optimized geometry
data_Na2FeNiHg
_space_group_name_H-M_alt 'P 4/m m m'
_space_group_IT_number 123
_space_group_name_Hall '-P 4 2'
_cell_length_a 5.3138
_cell_length_b 5.3138
_cell_length_c 4.7808
_cell_angle_alpha 90.00
_cell_angle_beta 90.00
_cell_angle_gamma 90.00
loop_
_atom_site_label
_atom_site_fract_x
_atom_site_fract_y
_atom_site_fract_z
_atom_site_occupancy
Na1 0.0000 0.5000 0.0000 1
Fe1 0.0000 0.0000 0.5000 1
Ni1 0.5000 0.5000 0.5000 1
Hg1 0.5000 0.5000 0.0000 1
# Total moment = 0.7249 μB per atom
# DFT formation energy = 1189 meV/atom

---

[5]
# InB2Rh2 GGA-PBEsol optimized geometry
data_InB2Rh2
_space_group_name_H-M_alt 'I 4/m m m'
_space_group_IT_number 139
_space_group_name_Hall '-I 4 2'
_cell_length_a 2.9108
_cell_length_b 2.9108
_cell_length_c 14.2654
_cell_angle_alpha 90.00
_cell_angle_beta 90.00
_cell_angle_gamma 90.00
loop_
_atom_site_label
_atom_site_fract_x
_atom_site_fract_y
_atom_site_fract_z
_atom_site_occupancy
In1 0.0000 0.0000 0.0000 1
B1 0.0000 0.5000 0.2500 1
Rh1 0.0000 0.0000 0.3586 1
# Total moment = 0.0000 μB per atom
# DFT formation energy = -290 meV/atom

---

[6]
# Ir7Rh GGA-PBEsol optimized geometry
data_Ir7Rh
_space_group_name_H-M_alt 'F m -3 m'
_space_group_IT_number 225
_space_group_name_Hall '-F 4 2 3'
_cell_length_a 7.6452
_cell_length_b 7.6452
_cell_length_c 7.6452
_cell_angle_alpha 90.00
_cell_angle_beta 90.00
_cell_angle_gamma 90.00
loop_
_atom_site_label
_atom_site_fract_x
_atom_site_fract_y
_atom_site_fract_z
_atom_site_occupancy
Ir1 0.0000 0.0000 0.0000 1
Ir2 0.0000 0.2500 0.2500 1
Rh1 0.0000 0.0000 0.5000 1
# Total moment = 0.0000 μB per atom
# DFT formation energy = -7 meV/atom

---

[7]
# CsBaFe3 GGA-PBEsol optimized geometry
data_CsBaFe3
_space_group_name_H-M_alt 'P m -3 m'
_space_group_IT_number 221
_space_group_name_Hall '-P 4 2 3'
_cell_length_a 5.5954
_cell_length_b 5.5954
_cell_length_c 5.5954
_cell_angle_alpha 90.00
_cell_angle_beta 90.00
_cell_angle_gamma 90.00
loop_
_atom_site_label
_atom_site_fract_x
_atom_site_fract_y
_atom_site_fract_z
_atom_site_occupancy
Cs1 0.0000 0.0000 0.0000 1
Ba1 0.5000 0.5000 0.5000 1
Fe1 0.0000 0.5000 0.5000 1
# Total moment = 1.8219 μB per atom
# DFT formation energy = 2141 meV/atom

---

[8]
# CrP4O12 GGA-PBEsol optimized geometry
data_CrP4O12
_space_group_name_H-M_alt 'C 1 2/m 1'
_space_group_IT_number 12
_cell_length_a 16.8129
_cell_length_b 12.5053
_cell_length_c 5.1120
_cell_angle_alpha 90.00
_cell_angle_beta 102.49
_cell_angle_gamma 90.00
loop_
_space_group_symop_operation_xyz
'x,y,z'
'-x,-y,-z'
'-x,y,-z'
'x,-y,z'
'x+1/2,y+1/2,z'
'-x+1/2,-y+1/2,-z'
'-x+1/2,y+1/2,-z'
'x+1/2,-y+1/2,z'
loop_
_atom_site_label
_atom_site_fract_x
_atom_site_fract_y
_atom_site_fract_z
_atom_site_occupancy
Cr1 0.2500 0.2500 0.0000 1
P1 0.0811 0.2240 0.1693 1
P2 0.1949 0.3792 0.4694 1
O1 0.0000 0.2798 0.0000 1
O2 0.0702 0.1245 0.3055 1
O3 0.1088 0.3248 0.3735 1
O4 0.1409 0.2264 0.9775 1
O5 0.1721 0.5000 0.3923 1
O6 0.2224 0.3736 0.7705 1
O7 0.2453 0.1608 0.6895 1
# Total moment = 0.1176 μB per atom
# ΔE to the lowest computed polymorph = 1.2 kJ per mole of atoms
# Energy relative to the elements, uncorrected = -1993 meV per atom

---

[9]
# RbYCr2Mo GGA-PBEsol optimized geometry
data_RbYCr2Mo
_space_group_name_H-M_alt 'P 4/m m m'
_space_group_IT_number 123
_space_group_name_Hall '-P 4 2'
_cell_length_a 4.8689
_cell_length_b 4.8689
_cell_length_c 5.3564
_cell_angle_alpha 90.00
_cell_angle_beta 90.00
_cell_angle_gamma 90.00
loop_
_atom_site_label
_atom_site_fract_x
_atom_site_fract_y
_atom_site_fract_z
_atom_site_occupancy
Rb1 0.0000 0.0000 0.0000 1
Y1 0.5000 0.5000 0.0000 1
Cr1 0.0000 0.5000 0.5000 1
Mo1 0.5000 0.5000 0.5000 1
# Total moment = 1.2221 μB per atom
# DFT formation energy = 1257 meV/atom

---

[10]
# Y2CuBr GGA-PBEsol optimized geometry
data_Y2CuBr
_space_group_name_H-M_alt 'C 1 m 1'
_space_group_IT_number 8
_cell_length_a 10.9352
_cell_length_b 3.5315
_cell_length_c 4.5715
_cell_angle_alpha 90.00
_cell_angle_beta 90.07
_cell_angle_gamma 90.00
loop_
_space_group_symop_operation_xyz
'x,y,z'
'x,-y,z'
'x+1/2,y+1/2,z'
'x+1/2,-y+1/2,z'
loop_
_atom_site_label
_atom_site_fract_x
_atom_site_fract_y
_atom_site_fract_z
_atom_site_occupancy
Y1 0.0000 0.0000 0.0000 1
Y2 0.2357 0.5000 0.4999 1
Cu1 0.4813 0.0000 0.5004 1
Br1 0.2648 0.0000 0.0000 1
# Total moment = 0.0000 μB per atom
# ΔE to the lowest computed polymorph = 12.0 kJ per mole of atoms
# Energy relative to the elements, uncorrected = -531 meV per atom

---

[11]
# CaTaBiO5 GGA-PBEsol optimized geometry
data_CaTaBiO5
_space_group_name_H-M_alt 'P b c a'
_space_group_IT_number 61
_cell_length_a 5.4656
_cell_length_b 15.9909
_cell_length_c 10.3194
_cell_angle_alpha 90.00
_cell_angle_beta 90.00
_cell_angle_gamma 90.00
loop_
_space_group_symop_operation_xyz
'x,y,z'
'-x,-y,-z'
'-x+1/2,-y,z+1/2'
'x+1/2,y,-z+1/2'
'x+1/2,-y+1/2,-z'
'-x+1/2,y+1/2,z'
'-x,y+1/2,-z+1/2'
'x,-y+1/2,z+1/2'
loop_
_atom_site_label
_atom_site_fract_x
_atom_site_fract_y
_atom_site_fract_z
_atom_site_occupancy
Ca1 0.0281 0.0703 0.1347 1
Ta1 0.0334 0.5733 0.8823 1
Bi1 0.0432 0.7443 0.1432 1
O1 0.0949 0.1760 0.6891 1
O2 0.2138 0.0294 0.5042 1
O3 0.2267 0.6409 0.9933 1
O4 0.2392 0.0237 0.7612 1
O5 0.2459 0.6667 0.2772 1
# Total moment = 0.0000 μB per atom
# ΔE to the lowest computed polymorph = 0.0 kJ per mole of atoms
# Energy relative to the elements, uncorrected = -2482 meV per atom

---

[12]
# P2Ir2F GGA-PBEsol optimized geometry
data_P2Ir2F
_space_group_name_H-M_alt 'P 4/m b m'
_space_group_IT_number 127
_space_group_name_Hall '-P 4 2ab'
_cell_length_a 6.9859
_cell_length_b 6.9859
_cell_length_c 2.7357
_cell_angle_alpha 90.00
_cell_angle_beta 90.00
_cell_angle_gamma 90.00
loop_
_atom_site_label
_atom_site_fract_x
_atom_site_fract_y
_atom_site_fract_z
_atom_site_occupancy
P1 0.1518 0.3482 0.0000 1
Ir1 0.1408 0.6408 0.5000 1
F1 0.0000 0.0000 0.5000 1
# Total moment = 0.0000 μB per atom
# Energy relative to the elements, uncorrected = -312 meV per atom

---

[13]
# HgIrOs GGA-PBEsol optimized geometry
data_HgIrOs
_space_group_name_H-M_alt 'P 3 m 1'
_space_group_IT_number 156
_cell_length_a 2.8021
_cell_length_b 2.8021
_cell_length_c 6.9554
_cell_angle_alpha 90.00
_cell_angle_beta 90.00
_cell_angle_gamma 120.00
loop_
_space_group_symop_operation_xyz
'x,y,z'
'-y,x-y,z'
'-x+y,-x,z'
'-y,-x,z'
'-x+y,y,z'
'x,x-y,z'
loop_
_atom_site_label
_atom_site_fract_x
_atom_site_fract_y
_atom_site_fract_z
_atom_site_occupancy
Hg1 0.0000 0.0000 0.0000 1
Ir1 0.3333 0.6667 0.6467 1
Os1 0.6667 0.3333 0.3536 1
# Total moment = 0.0002 μB per atom
# DFT formation energy = 424 meV/atom

---

[14]
# Cs3SiAg GGA-PBEsol optimized geometry
data_Cs3SiAg
_space_group_name_H-M_alt 'P m -3 m'
_space_group_IT_number 221
_space_group_name_Hall '-P 4 2 3'
_cell_length_a 6.6144
_cell_length_b 6.6144
_cell_length_c 6.6144
_cell_angle_alpha 90.00
_cell_angle_beta 90.00
_cell_angle_gamma 90.00
loop_
_atom_site_label
_atom_site_fract_x
_atom_site_fract_y
_atom_site_fract_z
_atom_site_occupancy
Cs1 0.0000 0.0000 0.5000 1
Si1 0.5000 0.5000 0.5000 1
Ag1 0.0000 0.0000 0.0000 1
# Total moment = 0.3998 μB per atom
# Energy relative to the elements, uncorrected = 580 meV per atom

---

[15]
# TcW2Au GGA-PBEsol optimized geometry
data_TcW2Au
_space_group_name_H-M_alt 'P 4 m m'
_space_group_IT_number 99
_cell_length_a 3.2840
_cell_length_b 3.2840
_cell_length_c 5.7946
_cell_angle_alpha 90.00
_cell_angle_beta 90.00
_cell_angle_gamma 90.00
loop_
_space_group_symop_operation_xyz
'x,y,z'
'-y,x,z'
'-x,-y,z'
'y,-x,z'
'-x,y,z'
'y,x,z'
'x,-y,z'
'-y,-x,z'
loop_
_atom_site_label
_atom_site_fract_x
_atom_site_fract_y
_atom_site_fract_z
_atom_site_occupancy
Tc1 0.0000 0.0000 0.0000 1
W1 0.0000 0.0000 0.4670 1
W2 0.5000 0.5000 0.2225 1
Au1 0.5000 0.5000 0.7304 1
# Total moment = 0.0001 μB per atom
# ΔE to the lowest computed polymorph = 0.0 kJ per mole of atoms
# DFT formation energy = 279 meV/atom

---

[16]
# Bi3O4F GGA-PBEsol optimized geometry
data_Bi3O4F
_space_group_name_H-M_alt 'C 1 2/m 1'
_space_group_IT_number 12
_cell_length_a 16.9503
_cell_length_b 3.4918
_cell_length_c 9.7593
_cell_angle_alpha 90.00
_cell_angle_beta 113.66
_cell_angle_gamma 90.00
loop_
_space_group_symop_operation_xyz
'x,y,z'
'-x,-y,-z'
'-x,y,-z'
'x,-y,z'
'x+1/2,y+1/2,z'
'-x+1/2,-y+1/2,-z'
'-x+1/2,y+1/2,-z'
'x+1/2,-y+1/2,z'
loop_
_atom_site_label
_atom_site_fract_x
_atom_site_fract_y
_atom_site_fract_z
_atom_site_occupancy
Bi1 0.0877 0.0000 0.4548 1
Bi2 0.1443 0.0000 0.9106 1
Bi3 0.1979 0.5000 0.2607 1
O1 0.1129 0.0000 0.2587 1
O2 0.1136 0.5000 0.0224 1
O3 0.1755 0.5000 0.5136 1
O4 0.2440 0.5000 0.8761 1
F1 0.0222 0.5000 0.6722 1
# Total moment = 0.0000 μB per atom
# ΔE to the lowest computed polymorph = 6.4 kJ per mole of atoms
# Energy relative to the elements, uncorrected = -1376 meV per atom

---

[17]
# KBiMo3 GGA-PBEsol optimized geometry
data_KBiMo3
_space_group_name_H-M_alt 'P m -3 m'
_space_group_IT_number 221
_space_group_name_Hall '-P 4 2 3'
_cell_length_a 4.5881
_cell_length_b 4.5881
_cell_length_c 4.5881
_cell_angle_alpha 90.00
_cell_angle_beta 90.00
_cell_angle_gamma 90.00
loop_
_atom_site_label
_atom_site_fract_x
_atom_site_fract_y
_atom_site_fract_z
_atom_site_occupancy
K1 0.0000 0.0000 0.0000 1
Bi1 0.5000 0.5000 0.5000 1
Mo1 0.0000 0.0000 0.5000 1
# Total moment = 0.3633 μB per atom
# DFT formation energy = 2946 meV/atom

---

[18]
# ScAl2Tc GGA-PBEsol optimized geometry
data_ScAl2Tc
_space_group_name_H-M_alt 'P 4/m m m'
_space_group_IT_number 123
_space_group_name_Hall '-P 4 2'
_cell_length_a 3.2468
_cell_length_b 3.2468
_cell_length_c 6.1093
_cell_angle_alpha 90.00
_cell_angle_beta 90.00
_cell_angle_gamma 90.00
loop_
_atom_site_label
_atom_site_fract_x
_atom_site_fract_y
_atom_site_fract_z
_atom_site_occupancy
Sc1 0.0000 0.0000 0.0000 1
Al1 0.5000 0.5000 0.2910 1
Tc1 0.0000 0.0000 0.5000 1
# Total moment = 0.0466 μB per atom
# ΔE to the lowest computed polymorph = 2.0 kJ per mole of atoms
# DFT formation energy = -367 meV/atom

---

[19]
# KLiO2 GGA-PBEsol optimized geometry
data_KLiO2
_space_group_name_H-M_alt 'R -3 m'
_space_group_IT_number 166
_space_group_name_Hall '-R 3 2"'
_cell_length_a 3.3246
_cell_length_b 3.3246
_cell_length_c 18.9543
_cell_angle_alpha 90.00
_cell_angle_beta 90.00
_cell_angle_gamma 120.00
loop_
_atom_site_label
_atom_site_fract_x
_atom_site_fract_y
_atom_site_fract_z
_atom_site_occupancy
K1 0.0000 0.0000 0.0000 1
Li1 0.0000 0.0000 0.5000 1
O1 0.0000 0.0000 0.1234 1
# Total moment = 0.5000 μB per atom
# Energy relative to the elements, uncorrected = -427 meV per atom

---

[20]
# Te2PtW GGA-PBEsol optimized geometry
data_Te2PtW
_space_group_name_H-M_alt 'P 4/m m m'
_space_group_IT_number 123
_space_group_name_Hall '-P 4 2'
_cell_length_a 3.4026
_cell_length_b 3.4026
_cell_length_c 6.5147
_cell_angle_alpha 90.00
_cell_angle_beta 90.00
_cell_angle_gamma 90.00
loop_
_atom_site_label
_atom_site_fract_x
_atom_site_fract_y
_atom_site_fract_z
_atom_site_occupancy
Te1 0.0000 0.0000 0.2435 1
Pt1 0.5000 0.5000 0.5000 1
W1 0.5000 0.5000 0.0000 1
# Total moment = 0.0000 μB per atom
# Energy relative to the elements, uncorrected = 342 meV per atom

---

[21]
# KFeTe2Pd GGA-PBEsol optimized geometry
data_KFeTe2Pd
_space_group_name_H-M_alt 'P 4/m m m'
_space_group_IT_number 123
_space_group_name_Hall '-P 4 2'
_cell_length_a 5.2236
_cell_length_b 5.2236
_cell_length_c 5.2890
_cell_angle_alpha 90.00
_cell_angle_beta 90.00
_cell_angle_gamma 90.00
loop_
_atom_site_label
_atom_site_fract_x
_atom_site_fract_y
_atom_site_fract_z
_atom_site_occupancy
K1 0.0000 0.0000 0.0000 1
Fe1 0.5000 0.5000 0.0000 1
Te1 0.0000 0.5000 0.5000 1
Pd1 0.0000 0.0000 0.5000 1
# Total moment = 0.6995 μB per atom
# Energy relative to the elements, uncorrected = 632 meV per atom

---

[22]
# NdAl4Ni GGA-PBEsol optimized geometry
data_NdAl4Ni
_space_group_name_H-M_alt 'C m c m'
_space_group_IT_number 63
_space_group_name_Hall '-C 2c 2'
_cell_length_a 4.0915
_cell_length_b 15.6598
_cell_length_c 6.5521
_cell_angle_alpha 90.00
_cell_angle_beta 90.00
_cell_angle_gamma 90.00
loop_
_atom_site_label
_atom_site_fract_x
_atom_site_fract_y
_atom_site_fract_z
_atom_site_occupancy
Nd1 0.0000 0.1141 0.2500 1
Al1 0.0000 0.0788 0.7500 1
Al2 0.0000 0.3088 0.0526 1
Al3 0.0000 0.5000 0.0000 1
Ni1 0.0000 0.2251 0.7500 1
# Total moment = 0.0000 μB per atom
# DFT formation energy = -557 meV/atom